! KLi2GaPt PBE optimized geometry; values from VASP
&SYSTEM
  ibrav = 0, nat = 5, ntyp = 4
/
ATOMIC_SPECIES
K 39.10 K.upf
Li 6.94 Li.upf
Ga 69.72 Ga.upf
Pt 195.08 Pt.upf
CELL_PARAMETERS angstrom
-1.774 3.707 2.961
-4.655 -1.970 -0.322
0.868 -2.687 3.885
ATOMIC_POSITIONS crystal
K 0.500 0.500 0.500
Li 0.000 0.500 0.000
Li 0.500 0.000 0.000
Ga 0.000 0.000 0.500
Pt 0.000 0.000 0.000
! - Energy relative to the elements: -0.340 eV/atom
! - Space group: P4/mmm, No. 123

! MnTe2Os PBE optimized geometry; values from VASP
&SYSTEM
  ibrav = 0, nat = 4, ntyp = 3
/
ATOMIC_SPECIES
Te 127.60 Te.upf
Os 190.23 Os.upf
Mn 54.94 Mn.upf
CELL_PARAMETERS angstrom
-2.333 -1.494 -1.803
1.120 -2.947 0.992
-4.260 0.185 5.358
ATOMIC_POSITIONS crystal
Te 0.000 0.000 0.500
Os 0.500 0.500 0.750
Te 0.000 0.000 0.000
Mn 0.500 0.500 0.250
! - Space group: P4/mmm, No. 123
! - Polymorph energy (0 for the lowest one): 2.13 eV/f.u.
! - Uncorrected formation energy: 0.6138 eV per atom

! Pm2Pr3Y5 PBE optimized geometry; values from VASP
&SYSTEM
  ibrav = 0, nat = 20, ntyp = 3
/
ATOMIC_SPECIES
Y 88.91 Y.upf
Pm 145.00 Pm.upf
Pr 140.91 Pr.upf
CELL_PARAMETERS angstrom
-3.293 -7.550 -4.351
4.989 -7.416 2.602
-6.134 6.145 7.196
ATOMIC_POSITIONS crystal
Y 0.528 0.278 0.556
Pm 0.767 0.017 0.743
Pm 0.233 0.983 0.257
Y 0.867 0.614 0.735
Y 0.726 0.476 0.952
Y 0.974 0.224 0.448
Y 0.632 0.879 0.265
Y 0.133 0.386 0.265
Pr 0.274 0.523 0.749
Pr 0.229 0.979 0.957
Pr 0.975 0.225 0.749
Y 0.472 0.722 0.444
Pm 0.476 0.726 0.743
Pr 0.025 0.775 0.251
Pr 0.771 0.021 0.043
Pr 0.726 0.477 0.251
Pm 0.524 0.274 0.257
Y 0.274 0.524 0.048
Y 0.368 0.121 0.735
Y 0.026 0.776 0.552
! - Energy relative to the elements: 0.169 eV/atom
! - Space group: C2/c, No. 15

! Ac2SmTl3 PBE optimized geometry; values from VASP
&SYSTEM
  ibrav = 0, nat = 12, ntyp = 3
/
ATOMIC_SPECIES
Tl 204.38 Tl.upf
Sm 150.36 Sm.upf
Ac 227.00 Ac.upf
CELL_PARAMETERS angstrom
-2.117 2.149 -2.543
-5.712 -0.351 4.460
5.608 11.473 8.087
ATOMIC_POSITIONS crystal
Tl 0.578 0.969 0.155
Tl 0.245 0.250 0.489
Tl 0.422 0.031 0.845
Sm 0.660 0.250 0.320
Tl 0.422 0.469 0.845
Ac 0.160 0.750 0.321
Sm 0.340 0.750 0.680
Tl 0.578 0.531 0.155
Ac 0.989 0.750 0.978
Tl 0.755 0.750 0.511
Ac 0.011 0.250 0.022
Ac 0.840 0.250 0.679
! - Energy relative to the elements: -0.207 eV/atom
! - Space group: Cmcm, No. 63
! - Polymorph energy (0 for the lowest one): 0.90 eV/f.u.

| no. | electronic total energy (eV per atom) |
| --- | --- |
| 1 | -3.1385 |
| 2 | -6.0568 |
| 3 | -5.4475 |
| 4 | -3.5462 |